Entry 1:
Density functional theory data (PBE-GGA) for a relaxed KScSnC2 crystal.

Cell and atoms, written as CIF:
```
data_KScSnC2
_chemical_formula_sum 'K1 Sc1 Sn1 C2'
_symmetry_space_group_name_H-M 'P 4/m m m'
_symmetry_Int_Tables_number 123
_symmetry_space_group_name_Hall '-P 4 2'
_cell_length_a 4.461
_cell_length_b 4.461
_cell_length_c 5.284
_cell_angle_alpha 90.00
_cell_angle_beta 90.00
_cell_angle_gamma 90.00
loop_
_atom_site_label
_atom_site_type_symbol
_atom_site_fract_x
_atom_site_fract_y
_atom_site_fract_z
K1 K 0.000 0.000 0.000
Sc1 Sc 0.000 0.000 0.500
Sn1 Sn 0.500 0.500 0.000
C1 C 0.000 0.500 0.500
```

Calculated values
The value obtained for the energy of formation from the pure elements is 1.730 eV/atom.

***

Entry 2:
Density functional theory data (PBE-GGA) for a relaxed K2SrScC crystal.

Cell and atoms, written as CIF:
```
data_K2SrScC
_chemical_formula_sum 'K2 Sr1 Sc1 C1'
_symmetry_space_group_name_H-M 'P 4/m m m'
_symmetry_Int_Tables_number 123
_symmetry_space_group_name_Hall '-P 4 2'
_cell_length_a 6.019
_cell_length_b 6.019
_cell_length_c 5.316
_cell_angle_alpha 90.00
_cell_angle_beta 90.00
_cell_angle_gamma 90.00
loop_
_atom_site_label
_atom_site_type_symbol
_atom_site_fract_x
_atom_site_fract_y
_atom_site_fract_z
K1 K 0.000 0.500 0.000
Sr1 Sr 0.000 0.000 0.500
Sc1 Sc 0.500 0.500 0.500
C1 C 0.000 0.000 0.000
```

Calculated values
The value obtained for the energy of formation from the pure elements is 1.128 eV/atom.

***

Entry 3:
Density functional theory data (PBE-GGA) for a relaxed K2C2Se crystal.

Cell and atoms, written as CIF:
```
data_K2C2Se
_chemical_formula_sum 'K4 C4 Se2'
_symmetry_space_group_name_H-M 'P 4/m b m'
_symmetry_Int_Tables_number 127
_symmetry_space_group_name_Hall '-P 4 2ab'
_cell_length_a 7.015
_cell_length_b 7.015
_cell_length_c 4.415
_cell_angle_alpha 90.00
_cell_angle_beta 90.00
_cell_angle_gamma 90.00
loop_
_atom_site_label
_atom_site_type_symbol
_atom_site_fract_x
_atom_site_fract_y
_atom_site_fract_z
K1 K 0.215 0.285 0.000
C1 C 0.065 0.565 0.500
Se1 Se 0.000 0.000 0.500
```

Calculated values
Its energy above the most stable polymorph in this dataset is 309 meV per atom. Its uncorrected formation energy is 0.46 eV/atom.

***

Entry 4:
Density functional theory data (PBE-GGA) for a relaxed KCSe2 crystal.

Cell and atoms, written as CIF:
```
data_KCSe2
_chemical_formula_sum 'K4 C4 Se8'
_symmetry_space_group_name_H-M 'I -4 2 d'
_symmetry_Int_Tables_number 122
_symmetry_space_group_name_Hall 'I -4 2bw'
_cell_length_a 6.825
_cell_length_b 6.825
_cell_length_c 8.294
_cell_angle_alpha 90.00
_cell_angle_beta 90.00
_cell_angle_gamma 90.00
loop_
_atom_site_label
_atom_site_type_symbol
_atom_site_fract_x
_atom_site_fract_y
_atom_site_fract_z
K1 K 0.000 0.000 0.000
C1 C 0.000 0.000 0.500
Se1 Se 0.109 0.750 0.625
```

Calculated values
Its uncorrected formation energy is 0.37 eV/atom.

***

Entry 5:
Density functional theory data (PBE-GGA) for a relaxed KC2Se crystal.

Cell and atoms, written as CIF:
```
data_KC2Se
_chemical_formula_sum 'K4 C8 Se4'
_symmetry_space_group_name_H-M 'I -4 2 d'
_symmetry_Int_Tables_number 122
_symmetry_space_group_name_Hall 'I -4 2bw'
_cell_length_a 6.137
_cell_length_b 6.137
_cell_length_c 7.479
_cell_angle_alpha 90.00
_cell_angle_beta 90.00
_cell_angle_gamma 90.00
loop_
_atom_site_label
_atom_site_type_symbol
_atom_site_fract_x
_atom_site_fract_y
_atom_site_fract_z
K1 K 0.000 0.000 0.000
C1 C 0.134 0.250 0.625
Se1 Se 0.000 0.000 0.500
```

Calculated values
Its uncorrected formation energy is 1.68 eV/atom.

***

Entry 6:
Density functional theory data (PBE-GGA) for a relaxed KCSe2 crystal.

Cell and atoms, written as CIF:
```
data_KCSe2
_chemical_formula_sum 'K3 C3 Se6'
_symmetry_space_group_name_H-M 'R -3 m'
_symmetry_Int_Tables_number 166
_symmetry_space_group_name_Hall '-R 3 2"'
_cell_length_a 5.6399
_cell_length_b 5.6399
_cell_length_c 17.2782
_cell_angle_alpha 90.00
_cell_angle_beta 90.00
_cell_angle_gamma 120.00
loop_
_atom_site_label
_atom_site_type_symbol
_atom_site_fract_x
_atom_site_fract_y
_atom_site_fract_z
K1 K 0.0000 0.0000 0.0000
C1 C 0.0000 0.0000 0.5000
Se1 Se 0.0000 0.0000 0.3980
```

Calculated values
Its uncorrected formation energy is 0.26 eV/atom.

***

Entry 7:
Density functional theory data (PBE-GGA) for a relaxed KCSe2 crystal.

Cell and atoms, written as CIF:
```
data_KCSe2
_chemical_formula_sum 'K3 C3 Se6'
_symmetry_space_group_name_H-M 'R -3 m'
_symmetry_Int_Tables_number 166
_symmetry_space_group_name_Hall '-R 3 2"'
_cell_length_a 3.3928
_cell_length_b 3.3928
_cell_length_c 26.3244
_cell_angle_alpha 90.00
_cell_angle_beta 90.00
_cell_angle_gamma 120.00
loop_
_atom_site_label
_atom_site_type_symbol
_atom_site_fract_x
_atom_site_fract_y
_atom_site_fract_z
K1 K 0.0000 0.0000 0.0000
C1 C 0.0000 0.0000 0.5000
Se1 Se 0.0000 0.0000 0.1157
```

Calculated values
Its uncorrected formation energy is 1.06 eV/atom.

***

Entry 8:
Density functional theory data (PBE-GGA) for a relaxed K2C2Se crystal.

Cell and atoms, written as CIF:
```
data_K2C2Se
_chemical_formula_sum 'K4 C4 Se2'
_symmetry_space_group_name_H-M 'I 4/m m m'
_symmetry_Int_Tables_number 139
_symmetry_space_group_name_Hall '-I 4 2'
_cell_length_a 5.982
_cell_length_b 5.982
_cell_length_c 5.970
_cell_angle_alpha 90.00
_cell_angle_beta 90.00
_cell_angle_gamma 90.00
loop_
_atom_site_label
_atom_site_type_symbol
_atom_site_fract_x
_atom_site_fract_y
_atom_site_fract_z
K1 K 0.000 0.500 0.250
C1 C 0.000 0.000 0.106
Se1 Se 0.000 0.000 0.500
```

Calculated values
Its energy above the most stable polymorph in this dataset is 0 meV per atom. Its uncorrected formation energy is 0.15 eV/atom.

***

Entry 9:
Density functional theory data (PBE-GGA) for a relaxed KVCSe2 crystal.

Cell and atoms, written as CIF:
```
data_KVCSe2
_chemical_formula_sum 'K1 V1 C1 Se2'
_symmetry_space_group_name_H-M 'P 4/m m m'
_symmetry_Int_Tables_number 123
_symmetry_space_group_name_Hall '-P 4 2'
_cell_length_a 4.717
_cell_length_b 4.717
_cell_length_c 7.659
_cell_angle_alpha 90.00
_cell_angle_beta 90.00
_cell_angle_gamma 90.00
loop_
_atom_site_label
_atom_site_type_symbol
_atom_site_fract_x
_atom_site_fract_y
_atom_site_fract_z
K1 K 0.000 0.000 0.000
V1 V 0.000 0.000 0.500
C1 C 0.500 0.500 0.000
Se1 Se 0.000 0.500 0.500
```

Calculated values
Its uncorrected formation energy is 1.02 eV/atom.

***

Entry 10:
Density functional theory data (PBE-GGA) for a relaxed K2ZrCSe crystal.

Cell and atoms, written as CIF:
```
data_K2ZrCSe
_chemical_formula_sum 'K2 Zr1 C1 Se1'
_symmetry_space_group_name_H-M 'P 4/m m m'
_symmetry_Int_Tables_number 123
_symmetry_space_group_name_Hall '-P 4 2'
_cell_length_a 6.300
_cell_length_b 6.300
_cell_length_c 4.004
_cell_angle_alpha 90.00
_cell_angle_beta 90.00
_cell_angle_gamma 90.00
loop_
_atom_site_label
_atom_site_type_symbol
_atom_site_fract_x
_atom_site_fract_y
_atom_site_fract_z
K1 K 0.000 0.500 0.000
Zr1 Zr 0.000 0.000 0.500
C1 C 0.500 0.500 0.000
Se1 Se 0.500 0.500 0.500
```

Calculated values
Its uncorrected formation energy is 1.31 eV/atom.

***

Entry 11:
Density functional theory data (PBE-GGA) for a relaxed KSiC3 crystal.

Cell and atoms, written as CIF:
```
data_KSiC3
_chemical_formula_sum 'K1 Si1 C3'
_symmetry_space_group_name_H-M 'P m -3 m'
_symmetry_Int_Tables_number 221
_symmetry_space_group_name_Hall '-P 4 2 3'
_cell_length_a 3.921
_cell_length_b 3.921
_cell_length_c 3.921
_cell_angle_alpha 90.00
_cell_angle_beta 90.00
_cell_angle_gamma 90.00
loop_
_atom_site_label
_atom_site_type_symbol
_atom_site_fract_x
_atom_site_fract_y
_atom_site_fract_z
K1 K 0.000 0.000 0.000
Si1 Si 0.500 0.500 0.500
C1 C 0.000 0.500 0.500
```

Calculated values
Its energy above the most stable polymorph in this dataset is 0 meV per atom. Its uncorrected formation energy is 1.94 eV/atom.

***

Entry 12:
Density functional theory data (PBE-GGA) for a relaxed K3SiC crystal.

Cell and atoms, written as CIF:
```
data_K3SiC
_chemical_formula_sum 'K3 Si1 C1'
_symmetry_space_group_name_H-M 'P m -3 m'
_symmetry_Int_Tables_number 221
_symmetry_space_group_name_Hall '-P 4 2 3'
_cell_length_a 5.705
_cell_length_b 5.705
_cell_length_c 5.705
_cell_angle_alpha 90.00
_cell_angle_beta 90.00
_cell_angle_gamma 90.00
loop_
_atom_site_label
_atom_site_type_symbol
_atom_site_fract_x
_atom_site_fract_y
_atom_site_fract_z
K1 K 0.000 0.000 0.500
Si1 Si 0.500 0.500 0.500
C1 C 0.000 0.000 0.000
```

Calculated values
Its energy above the most stable polymorph in this dataset is 0 meV per atom. Its uncorrected formation energy is 1.20 eV/atom.

***

Repeat the seventh record exactly.
Density functional theory data (PBE-GGA) for a relaxed KCSe2 crystal.

Cell and atoms, written as CIF:
```
data_KCSe2
_chemical_formula_sum 'K3 C3 Se6'
_symmetry_space_group_name_H-M 'R -3 m'
_symmetry_Int_Tables_number 166
_symmetry_space_group_name_Hall '-R 3 2"'
_cell_length_a 3.3928
_cell_length_b 3.3928
_cell_length_c 26.3244
_cell_angle_alpha 90.00
_cell_angle_beta 90.00
_cell_angle_gamma 120.00
loop_
_atom_site_label
_atom_site_type_symbol
_atom_site_fract_x
_atom_site_fract_y
_atom_site_fract_z
K1 K 0.0000 0.0000 0.0000
C1 C 0.0000 0.0000 0.5000
Se1 Se 0.0000 0.0000 0.1157
```

Calculated values
Its uncorrected formation energy is 1.06 eV/atom.